Here is ZnAg2BiF8 after structural relaxation from the Alexandria database. Energies are from PBE.

The structure in CIF format:
```
data_ZnAg2BiF8
_chemical_formula_sum 'Zn1 Ag2 Bi1 F8'
_symmetry_space_group_name_H-M 'P 1 2/m 1'
_symmetry_Int_Tables_number 10
_cell_length_a 4.8956
_cell_length_b 6.9954
_cell_length_c 5.5648
_cell_angle_alpha 90.00
_cell_angle_beta 95.30
_cell_angle_gamma 90.00
loop_
_symmetry_equiv_pos_as_xyz
'x,y,z'
'-x,-y,-z'
'-x,y,-z'
'x,-y,z'
loop_
_atom_site_label
_atom_site_fract_x
_atom_site_fract_y
_atom_site_fract_z
Zn1 0.0000 0.0000 0.0000
Ag1 0.5000 0.2345 0.5000
Bi1 0.0000 0.5000 0.0000
F1 0.1402 0.2345 0.8040
F2 0.3333 0.0000 0.2487
F3 0.3813 0.5000 0.2727
```

Calculated values
Total moment (μB/atom): 0.090
Fermi-level density of states (states/eV per cell): 2.05
ΔE_f (raw) (eV/atom): -1.811